(1)
VASP calculation (PBE) on crystalline HoHgIr at its relaxed geometry.

Calculated density in g/cm3: 14.92
Formation enthalpy at 0 K in meV per atom: -397
Size of the total moment in μB/cell: 0.0

```
data_HoHgIr
_symmetry_space_group_name_H-M 'I 4 m m'
_symmetry_Int_Tables_number 107
_symmetry_space_group_name_Hall 'I 4 -2'
_cell_length_a 3.6342
_cell_length_b 3.6342
_cell_length_c 9.3985
_cell_angle_alpha 90.00
_cell_angle_beta 90.00
_cell_angle_gamma 90.00
loop_
_atom_site_label
_atom_site_type_symbol
_atom_site_fract_x
_atom_site_fract_y
_atom_site_fract_z
_atom_site_occupancy
Ho1 Ho 0.0000 0.0000 0.0000 1
Hg1 Hg 0.0000 0.0000 0.6850 1
Ir1 Ir 0.0000 0.0000 0.3570 1
```

=====

(2)
VASP calculation (PBE) on crystalline Ba2TaBr at its relaxed geometry.

Energy relative to the lowest polymorph listed for this composition in eV per atom: 0.314
Calculated density in g/cm3: 5.88
Formation energy (no corrections) in eV/atom: 0.425
Size of the total moment in μB/cell: 22.2

```
data_Ba2TaBr
_symmetry_space_group_name_H-M 'F m -3 m'
_symmetry_Int_Tables_number 225
_symmetry_space_group_name_Hall '-F 4 2 3'
_cell_length_a 8.4560
_cell_length_b 8.4560
_cell_length_c 8.4560
_cell_angle_alpha 90.00
_cell_angle_beta 90.00
_cell_angle_gamma 90.00
loop_
_atom_site_label
_atom_site_type_symbol
_atom_site_fract_x
_atom_site_fract_y
_atom_site_fract_z
_atom_site_occupancy
Ba1 Ba 0.2500 0.2500 0.2500 1
Ta1 Ta 0.0000 0.0000 0.0000 1
Br1 Br 0.0000 0.0000 0.5000 1
```

=====

(3)
VASP calculation (PBE) on crystalline Ca2Cr2Ge at its relaxed geometry.

Calculated density in g/cm3: 4.13
Formation enthalpy at 0 K in meV per atom: 266
Size of the total moment in μB/cell: 0.9

```
data_Ca2Cr2Ge
_symmetry_space_group_name_H-M 'I 4/m m m'
_symmetry_Int_Tables_number 139
_symmetry_space_group_name_Hall '-I 4 2'
_cell_length_a 3.2535
_cell_length_b 3.2535
_cell_length_c 19.4989
_cell_angle_alpha 90.00
_cell_angle_beta 90.00
_cell_angle_gamma 90.00
loop_
_atom_site_label
_atom_site_type_symbol
_atom_site_fract_x
_atom_site_fract_y
_atom_site_fract_z
_atom_site_occupancy
Ca1 Ca 0.0000 0.0000 0.1058 1
Cr1 Cr 0.0000 0.5000 0.2500 1
Ge1 Ge 0.0000 0.0000 0.5000 1
```

=====

(4)
VASP calculation (PBE) on crystalline CoPSe2 at its relaxed geometry.

Calculated density in g/cm3: 5.79
Formation energy (no corrections) in eV/atom: 0.213
Size of the total moment in μB/cell: 0.0

```
data_CoPSe2
_symmetry_space_group_name_H-M 'I m m 2'
_symmetry_Int_Tables_number 44
_symmetry_space_group_name_Hall 'I 2 -2'
_cell_length_a 3.1521
_cell_length_b 4.2261
_cell_length_c 10.6713
_cell_angle_alpha 90.00
_cell_angle_beta 90.00
_cell_angle_gamma 90.00
loop_
_atom_site_label
_atom_site_type_symbol
_atom_site_fract_x
_atom_site_fract_y
_atom_site_fract_z
_atom_site_occupancy
Co1 Co 0.0000 0.0000 0.0000 1
P1 P 0.0000 0.5000 0.3466 1
Se1 Se 0.0000 0.0000 0.4849 1
Se2 Se 0.0000 0.5000 0.6770 1
```